# CaLa15Er4

A relaxed structure of CaLa15Er4 (GGA-PBE, the Alexandria database).

```
CaLa15Er4
1.0
5.220 0.000 0.000
0.000 5.220 0.000
0.000 0.000 26.166
Ca La Er
1 15 4
Cartesian
0.000 0.000 0.000
0.000 2.610 2.735
0.000 2.610 7.894
0.000 2.610 13.083
0.000 2.610 18.272
0.000 2.610 23.431
2.610 0.000 2.735
2.610 0.000 7.894
2.610 0.000 13.083
2.610 0.000 18.272
2.610 0.000 23.431
2.610 2.610 0.000
2.610 2.610 5.288
2.610 2.610 10.477
2.610 2.610 15.689
2.610 2.610 20.878
0.000 0.000 5.281
0.000 0.000 10.493
0.000 0.000 15.673
0.000 0.000 20.885
```

Summary:
calculated total energy	-93.86	eV for the cell shown
energy of formation	15	meV/atom
total magnetization	0.00	μB/f.u.



# CaLaEr2

A relaxed structure of CaLaEr2 (GGA-PBE, the Alexandria database).

```
CaLaEr2
1.0
3.627 0.000 0.000
-1.814 3.141 0.000
0.000 0.000 36.027
Ca La Er
3 3 6
Cartesian
0.000 0.000 0.000
0.000 2.094 24.018
1.814 1.047 12.009
0.000 0.000 5.971
0.000 2.094 29.989
1.814 1.047 17.980
0.000 0.000 20.895
0.000 0.000 27.110
0.000 2.094 8.886
0.000 2.094 15.101
1.814 1.047 3.092
1.814 1.047 32.904
```

Summary:
calculated total energy	-47.29	eV for the cell shown
energy of formation	73	meV/atom
total magnetization	0.00	μB/f.u.
polymorph energy (0 for the lowest one)	0	meV per atom



# Ca2LaEr

A relaxed structure of Ca2LaEr (GGA-PBE, the Alexandria database).

```
Ca2LaEr
1.0
4.176 0.000 0.000
0.000 4.176 0.000
0.000 0.000 8.479
Ca La Er
2 1 1
Cartesian
0.000 0.000 2.013
0.000 0.000 6.466
2.088 2.088 4.239
2.088 2.088 0.000
```

Summary:
calculated total energy	-12.87	eV for the cell shown
energy of formation	156	meV/atom
total magnetization	0.00	μB/f.u.
polymorph energy (0 for the lowest one)	47	meV per atom



# Ca2La4Er

A relaxed structure of Ca2La4Er (GGA-PBE, the Alexandria database).

```
Ca2La4Er
1.0
3.626 0.000 0.000
0.000 5.984 0.000
0.000 0.000 24.137
Ca La Er
4 8 2
Cartesian
0.000 0.000 5.335
0.000 0.000 18.802
1.813 2.992 6.734
1.813 2.992 17.404
0.000 2.992 3.133
0.000 2.992 10.184
0.000 2.992 13.953
0.000 2.992 21.004
1.813 0.000 1.884
1.813 0.000 8.936
1.813 0.000 15.202
1.813 0.000 22.253
0.000 0.000 12.069
1.813 2.992 0.000
```

Summary:
calculated total energy	-55.07	eV for the cell shown
energy of formation	106	meV/atom
total magnetization	0.00	μB/f.u.



Question: Among the records above, which one has the highest energy of formation?
Answer: Ca2LaEr